Pt | PBE | optimized geometry

Structure (POSCAR):
```
Pt
1.0
-2.811 -3.631 -0.879
-1.907 -6.511 32.984
-2.684 3.783 0.592
Pt
30
Direct
0.000 0.212 0.000
0.500 0.256 0.000
0.000 0.301 0.000
0.500 0.345 0.000
0.000 0.390 0.000
0.500 0.434 0.000
0.000 0.478 0.000
0.500 0.522 0.000
0.000 0.566 0.000
0.500 0.611 0.000
0.000 0.655 0.000
0.500 0.699 0.000
0.000 0.743 0.000
0.500 0.788 0.000
0.000 0.825 0.000
0.000 0.175 0.500
0.500 0.212 0.500
0.000 0.257 0.500
0.500 0.301 0.500
0.000 0.345 0.500
0.500 0.390 0.500
0.000 0.434 0.500
0.500 0.478 0.500
0.000 0.522 0.500
0.500 0.566 0.500
0.000 0.610 0.500
0.500 0.655 0.500
0.000 0.699 0.500
0.500 0.744 0.500
0.000 0.788 0.500
```

Computed properties:
ΔE to the lowest computed polymorph: 189 meV per atom
E_form: 0.189 eV/atom
Spin magnetization: 0.010 μB per atom